1.
DFT (PBE-GGA) results for a relaxed CaTiNb3 crystal.

abc: 4.8637 4.8637 4.8637
angles: 90.00 90.00 90.00
Atoms (fractional coordinates):
Nb (0.0000, 0.5000, 0.0000)
Nb (0.0000, 0.0000, 0.5000)
Nb (0.5000, 0.0000, 0.0000)
Ca (0.5000, 0.5000, 0.5000)
Ti (0.0000, 0.0000, 0.0000)

Results
energy of formation from the pure elements = 1003 meV/atom
ΔE to the lowest computed polymorph = 0.000 eV per atom
VASP energy = -7.018 eV per atom
space group = Pm-3m, No. 221

***

2.
DFT (PBE-GGA) results for a relaxed Sr2Cu2P crystal.

abc: 3.6691 3.6691 9.1608
angles: 78.45 78.45 90.00
Atoms (fractional coordinates):
P (0.0000, 0.0000, 0.0000)
Sr (0.5972, 0.5972, 0.8055)
Sr (0.4028, 0.4028, 0.1945)
Cu (0.2500, 0.7500, 0.5000)
Cu (0.7500, 0.2500, 0.5000)

Results
energy of formation from the pure elements = -292 meV/atom
ΔE to the lowest computed polymorph = 0.000 eV per atom
VASP energy = -3.685 eV per atom
space group = I4/mmm, No. 139

***

3.
DFT (PBE-GGA) results for a relaxed PmPu2Re9 crystal.

abc: 5.3385 5.3385 9.4679
angles: 73.62 73.62 60.00
Atoms (fractional coordinates):
Pu (0.8547, 0.8547, 0.4359)
Pu (0.1453, 0.1453, 0.5641)
Re (0.9214, 0.4142, 0.2502)
Re (0.6647, 0.6647, 0.0058)
Re (0.0786, 0.5858, 0.7498)
Re (0.5858, 0.0786, 0.7498)
Re (0.4142, 0.9214, 0.2502)
Re (0.3353, 0.3353, 0.9942)
Re (0.5858, 0.5858, 0.7498)
Re (0.4142, 0.4142, 0.2502)
Re (0.5000, 0.5000, 0.5000)
Pm (0.0000, 0.0000, 0.0000)

Results
energy of formation from the pure elements = 93 meV/atom
VASP energy = -12.028 eV per atom
space group = R-3m, No. 166

***

Number 3 is which compound?
PmPu2Re9

***

Repeat the first record exactly.
DFT (PBE-GGA) results for a relaxed CaTiNb3 crystal.

abc: 4.8637 4.8637 4.8637
angles: 90.00 90.00 90.00
Atoms (fractional coordinates):
Nb (0.0000, 0.5000, 0.0000)
Nb (0.0000, 0.0000, 0.5000)
Nb (0.5000, 0.0000, 0.0000)
Ca (0.5000, 0.5000, 0.5000)
Ti (0.0000, 0.0000, 0.0000)

Results
energy of formation from the pure elements = 1003 meV/atom
ΔE to the lowest computed polymorph = 0.000 eV per atom
VASP energy = -7.018 eV per atom
space group = Pm-3m, No. 221

***

The highest VASP energy belongs to which entry?
Sr2Cu2P